Entry 1:
Computed, not measured: Ba2PaMn2N6 after structural relaxation at the PBE level of DFT.

The structure in POSCAR format:
```
Ba2PaMn2N6
1.0
3.0187 1.7428 5.7240
-3.0187 1.7428 5.7240
0.0000 -3.4857 5.7240
Ba Pa Mn N
2 1 2 6
Direct
0.2307 0.2307 0.2307
0.7693 0.7693 0.7693
0.0000 0.0000 0.0000
0.4364 0.4364 0.4364
0.5636 0.5636 0.5636
0.2524 0.2524 0.7301
0.2524 0.7301 0.2524
0.2699 0.7476 0.7476
0.7301 0.2524 0.2524
0.7476 0.2699 0.7476
0.7476 0.7476 0.2699
```

ΔE_f (raw), kcal/mol of atoms: -19.1
VASP energy, eV for the cell shown: -90.75
Total magnetic moment, μB/atom: 0.000
Symmetry: R-3m (166)
Theoretical density, g cm⁻³: 6.430


Entry 2:
Computed, not measured: BaPaMnN4 after structural relaxation at the PBE level of DFT.

The structure in POSCAR format:
```
BaPaMnN4
1.0
5.7362 0.0000 0.0000
0.0000 5.5737 0.0000
-2.2851 0.0000 7.1716
Ba Pa Mn N
2 2 2 8
Direct
0.2041 0.2500 0.4223
0.7959 0.7500 0.5777
0.2680 0.2500 0.9478
0.7320 0.7500 0.0522
0.2737 0.7500 0.1750
0.7263 0.2500 0.8250
0.0625 0.7500 0.3091
0.0688 0.7500 0.9485
0.4765 0.5091 0.1907
0.4765 0.9909 0.1907
0.5235 0.0091 0.8093
0.5235 0.4909 0.8093
0.9312 0.2500 0.0515
0.9375 0.2500 0.6909
```

ΔE_f (raw), kcal/mol of atoms: -20.6
VASP energy, eV for the cell shown: -120.28
Total magnetic moment, μB/atom: 0.287
Symmetry: P2_1/m (11)
Theoretical density, g cm⁻³: 6.943


Entry 3:
Computed, not measured: Ba4Pa3MnN8 after structural relaxation at the PBE level of DFT.

The structure in POSCAR format:
```
Ba4Pa3MnN8
1.0
3.6144 2.0868 6.3911
-3.6144 2.0868 6.3911
0.0000 -4.1735 6.3911
Ba Pa Mn N
4 3 1 8
Direct
0.0000 0.0000 0.0000
0.0000 0.5000 0.5000
0.5000 0.0000 0.5000
0.5000 0.5000 0.0000
0.0000 0.0000 0.5000
0.0000 0.5000 0.0000
0.5000 0.0000 0.0000
0.5000 0.5000 0.5000
0.2048 0.7381 0.7381
0.2267 0.2267 0.2267
0.2619 0.2619 0.7952
0.2619 0.7952 0.2619
0.7381 0.2048 0.7381
0.7381 0.7381 0.2048
0.7733 0.7733 0.7733
0.7952 0.2619 0.2619
```

ΔE_f (raw), kcal/mol of atoms: -22.5
VASP energy, eV for the cell shown: -127.57
Total magnetic moment, μB/atom: 0.293
Symmetry: R-3m (166)
Theoretical density, g cm⁻³: 8.090


Entry 4:
Computed, not measured: BaPa2MnN4 after structural relaxation at the PBE level of DFT.

The structure in POSCAR format:
```
BaPa2MnN4
1.0
-2.9664 2.9664 3.9169
2.9664 -2.9664 3.9169
2.9664 2.9664 -3.9169
Ba Pa Mn N
1 2 1 4
Direct
0.0000 0.0000 0.0000
0.2500 0.7500 0.5000
0.7500 0.2500 0.5000
0.5000 0.5000 0.0000
0.1322 0.1322 0.6097
0.4776 0.8678 0.0000
0.5224 0.5224 0.3903
0.8678 0.4776 0.0000
```

ΔE_f (raw), kcal/mol of atoms: -20.7
VASP energy, eV for the cell shown: -70.55
Total magnetic moment, μB/atom: 0.613
Symmetry: I-42m (121)
Theoretical density, g cm⁻³: 8.556


Entry 5:
Computed, not measured: BaPa2MnN5 after structural relaxation at the PBE level of DFT.

The structure in POSCAR format:
```
BaPa2MnN5
1.0
-3.3509 3.3509 5.7065
3.3509 -3.3509 5.7065
3.3509 3.3509 -5.7065
Ba Pa Mn N
2 4 2 10
Direct
0.2500 0.2500 0.0000
0.7500 0.7500 0.0000
0.1821 0.6821 0.8642
0.3179 0.1821 0.5000
0.6821 0.8179 0.5000
0.8179 0.3179 0.1358
0.2500 0.7500 0.5000
0.7500 0.2500 0.5000
0.0000 0.0000 0.0000
0.0052 0.2351 0.5000
0.2351 0.7351 0.2299
0.2649 0.4948 0.5000
0.4948 0.9948 0.2299
0.5000 0.5000 0.0000
0.5052 0.0052 0.7701
0.7351 0.5052 0.5000
0.7649 0.2649 0.7701
0.9948 0.7649 0.5000
```

ΔE_f (raw), kcal/mol of atoms: -26.6
VASP energy, eV for the cell shown: -164.19
Total magnetic moment, μB/atom: 0.287
Symmetry: I4/mcm (140)
Theoretical density, g cm⁻³: 9.386


Entry 6:
Computed, not measured: BaPm2MnN4 after structural relaxation at the PBE level of DFT.

The structure in POSCAR format:
```
BaPm2MnN4
1.0
1.7830 -6.2165 0.0000
1.7830 6.2165 0.0000
0.0000 0.0000 12.0396
Ba Pm Mn N
2 4 2 8
Direct
0.0926 0.9074 0.7500
0.9074 0.0926 0.2500
0.3689 0.6311 0.5428
0.3689 0.6311 0.9572
0.6311 0.3689 0.0428
0.6311 0.3689 0.4572
0.1797 0.8203 0.2500
0.8203 0.1797 0.7500
0.0000 0.0000 0.0000
0.0000 0.0000 0.5000
0.2580 0.7420 0.1243
0.2580 0.7420 0.3757
0.3880 0.6120 0.7500
0.6120 0.3880 0.2500
0.7420 0.2580 0.6243
0.7420 0.2580 0.8757
```

ΔE_f (raw), kcal/mol of atoms: -22.5
VASP energy, eV for the cell shown: -123.43
Total magnetic moment, μB/atom: 0.341
Symmetry: Cmcm (63)
Theoretical density, g cm⁻³: 6.698


Entry 7:
Computed, not measured: Ba2PuMnN5 after structural relaxation at the PBE level of DFT.

The structure in POSCAR format:
```
Ba2PuMnN5
1.0
1.7604 -7.7210 0.0000
1.7604 7.7210 0.0000
0.0000 0.0000 11.3443
Ba Pu Mn N
4 2 2 10
Direct
0.1195 0.8805 0.5000
0.1384 0.8616 0.1522
0.8616 0.1384 0.6522
0.8805 0.1195 0.0000
0.1923 0.8077 0.8471
0.8077 0.1923 0.3471
0.4489 0.5511 0.2558
0.5511 0.4489 0.7558
0.0481 0.9519 0.8188
0.3006 0.6994 0.4623
0.3189 0.6811 0.8310
0.3287 0.6713 0.2255
0.4960 0.5040 0.1287
0.5040 0.4960 0.6287
0.6713 0.3287 0.7255
0.6811 0.3189 0.3310
0.6994 0.3006 0.9623
0.9519 0.0481 0.3188
```

ΔE_f (raw), kcal/mol of atoms: -14.1
VASP energy, eV for the cell shown: -148.95
Total magnetic moment, μB/atom: 0.223
Symmetry: Cmc2_1 (36)
Theoretical density, g cm⁻³: 6.931


Entry 8:
Computed, not measured: BaPuMnN3 after structural relaxation at the PBE level of DFT.

The structure in POSCAR format:
```
BaPuMnN3
1.0
7.7741 0.0000 0.0000
0.0000 3.5117 0.0000
-1.9069 0.0000 7.5451
Ba Pu Mn N
2 2 2 6
Direct
0.2142 0.2500 0.1954
0.7858 0.7500 0.8046
0.1629 0.2500 0.6524
0.8371 0.7500 0.3476
0.4028 0.7500 0.9219
0.5972 0.2500 0.0781
0.1316 0.7500 0.4539
0.1611 0.7500 0.8535
0.4645 0.2500 0.8437
0.5355 0.7500 0.1563
0.8389 0.2500 0.1465
0.8684 0.2500 0.5461
```

ΔE_f (raw), kcal/mol of atoms: -18.0
VASP energy, eV for the cell shown: -110.15
Total magnetic moment, μB/atom: 0.871
Symmetry: P2_1/m (11)
Theoretical density, g cm⁻³: 7.711


Entry 9:
Computed, not measured: BaMn2ReN after structural relaxation at the PBE level of DFT.

The structure in POSCAR format:
```
BaMn2ReN
1.0
4.0543 0.0000 0.0000
0.0000 4.0543 0.0000
0.0000 0.0000 5.2598
Ba Mn Re N
1 2 1 1
Direct
0.0000 0.0000 0.0000
0.0000 0.5000 0.5000
0.5000 0.0000 0.5000
0.5000 0.5000 0.0000
0.0000 0.0000 0.5000
```

ΔE_f (raw), kcal/mol of atoms: 21.6
VASP energy, eV for the cell shown: -36.35
Total magnetic moment, μB/atom: 1.209
Symmetry: P4/mmm (123)
Theoretical density, g cm⁻³: 8.593


Entry 10:
Computed, not measured: Ba2MnReN4 after structural relaxation at the PBE level of DFT.

The structure in POSCAR format:
```
Ba2MnReN4
1.0
0.0000 5.8604 9.9518
2.4522 0.0000 9.9518
2.4522 5.8604 0.0000
Ba Mn Re N
4 2 2 8
Direct
0.0473 0.0473 0.7027
0.2973 0.2973 0.9527
0.7027 0.7027 0.0473
0.9527 0.9527 0.2973
0.1250 0.1250 0.1250
0.8750 0.8750 0.8750
0.3750 0.3750 0.3750
0.6250 0.6250 0.6250
0.0294 0.3172 0.4055
0.2522 0.5945 0.6828
0.3172 0.0294 0.7478
0.4055 0.7478 0.0294
0.5945 0.2522 0.9706
0.6828 0.9706 0.2522
0.7478 0.4055 0.3172
0.9706 0.6828 0.5945
```

ΔE_f (raw), kcal/mol of atoms: -11.9
VASP energy, eV for the cell shown: -125.80
Total magnetic moment, μB/atom: 0.111
Symmetry: Fddd (70)
Theoretical density, g cm⁻³: 6.639


Entry 11:
Computed, not measured: Ba2MnRhN after structural relaxation at the PBE level of DFT.

The structure in POSCAR format:
```
Ba2MnRhN
1.0
5.9098 0.0000 0.0000
0.0000 5.9098 0.0000
0.0000 0.0000 4.7273
Ba Mn Rh N
2 1 1 1
Direct
0.0000 0.5000 0.0000
0.5000 0.0000 0.0000
0.0000 0.0000 0.5000
0.0000 0.0000 0.0000
0.5000 0.5000 0.5000
```

ΔE_f (raw), kcal/mol of atoms: 18.1
VASP energy, eV for the cell shown: -24.77
Total magnetic moment, μB/atom: 1.150
Symmetry: P4/mmm (123)
Theoretical density, g cm⁻³: 4.491


Entry 12:
Computed, not measured: BaMnSe2N after structural relaxation at the PBE level of DFT.

The structure in POSCAR format:
```
BaMnSe2N
1.0
6.0810 0.0000 0.0000
0.0000 6.0810 0.0000
0.0000 0.0000 5.0851
Ba Mn Se N
1 1 2 1
Direct
0.0000 0.0000 0.0000
0.5000 0.5000 0.5000
0.0000 0.5000 0.0000
0.5000 0.0000 0.0000
0.0000 0.0000 0.5000
```

ΔE_f (raw), kcal/mol of atoms: 25.1
E above lowest polymorph, meV/atom: 1704
VASP energy, eV for the cell shown: -20.95
Total magnetic moment, μB/atom: 1.474
Symmetry: P4/mmm (123)
Theoretical density, g cm⁻³: 3.216


Entry 13:
Computed, not measured: BaMnSe2N after structural relaxation at the PBE level of DFT.

The structure in POSCAR format:
```
BaMnSe2N
1.0
5.3749 0.0000 0.0000
0.0000 5.3749 0.0000
0.0000 0.0000 3.6964
Ba Mn Se N
1 1 2 1
Direct
0.0000 0.0000 0.0000
0.5000 0.5000 0.5000
0.0000 0.5000 0.5000
0.5000 0.0000 0.5000
0.5000 0.5000 0.0000
```

ΔE_f (raw), kcal/mol of atoms: -14.2
E above lowest polymorph, meV/atom: 0
VASP energy, eV for the cell shown: -29.47
Total magnetic moment, μB/atom: 0.410
Symmetry: P4/mmm (123)
Theoretical density, g cm⁻³: 5.663


Entry 14:
Computed, not measured: BaSm2MnN4 after structural relaxation at the PBE level of DFT.

The structure in POSCAR format:
```
BaSm2MnN4
1.0
1.7757 -6.1900 0.0000
1.7757 6.1900 0.0000
0.0000 0.0000 11.9837
Ba Sm Mn N
2 4 2 8
Direct
0.0923 0.9077 0.7500
0.9077 0.0923 0.2500
0.3690 0.6310 0.5428
0.3690 0.6310 0.9572
0.6310 0.3690 0.0428
0.6310 0.3690 0.4572
0.1795 0.8205 0.2500
0.8205 0.1795 0.7500
0.0000 0.0000 0.0000
0.0000 0.0000 0.5000
0.2577 0.7423 0.1234
0.2577 0.7423 0.3766
0.3887 0.6113 0.7500
0.6113 0.3887 0.2500
0.7423 0.2577 0.6234
0.7423 0.2577 0.8766
```

ΔE_f (raw), kcal/mol of atoms: -23.0
VASP energy, eV for the cell shown: -123.65
Total magnetic moment, μB/atom: 0.341
Symmetry: Cmcm (63)
Theoretical density, g cm⁻³: 6.921


Entry 15:
Computed, not measured: BaSmMnN4 after structural relaxation at the PBE level of DFT.

The structure in POSCAR format:
```
BaSmMnN4
1.0
5.7862 0.0000 0.0000
0.0000 5.5768 0.0000
-2.1446 0.0000 7.1571
Ba Sm Mn N
2 2 2 8
Direct
0.2196 0.2500 0.4277
0.7804 0.7500 0.5723
0.2716 0.2500 0.9509
0.7284 0.7500 0.0491
0.2743 0.7500 0.1762
0.7257 0.2500 0.8238
0.0897 0.7500 0.3187
0.1018 0.7500 0.9525
0.4625 0.5078 0.2146
0.4625 0.9922 0.2146
0.5375 0.0078 0.7854
0.5375 0.4922 0.7854
0.8982 0.2500 0.0475
0.9103 0.2500 0.6813
```

ΔE_f (raw), kcal/mol of atoms: -17.2
VASP energy, eV for the cell shown: -108.64
Total magnetic moment, μB/atom: 0.000
Symmetry: P2_1/m (11)
Theoretical density, g cm⁻³: 5.733


Entry 16:
Computed, not measured: Ba2SrMnN4 after structural relaxation at the PBE level of DFT.

The structure in POSCAR format:
```
Ba2SrMnN4
1.0
7.8755 0.0000 0.0000
0.0000 7.3461 0.0000
0.0000 0.0000 5.6886
Ba Sr Mn N
4 2 2 8
Direct
0.2358 0.1691 0.0000
0.2642 0.8309 0.5000
0.7358 0.8309 0.5000
0.7642 0.1691 0.0000
0.0000 0.3866 0.5049
0.5000 0.6134 0.0049
0.0000 0.6740 0.0513
0.5000 0.3260 0.5513
0.0000 0.4381 0.9873
0.0000 0.6862 0.3582
0.1895 0.7842 0.9680
0.3105 0.2158 0.4680
0.5000 0.3138 0.8582
0.5000 0.5619 0.4873
0.6895 0.2158 0.4680
0.8105 0.7842 0.9680
```

ΔE_f (raw), kcal/mol of atoms: -11.5
VASP energy, eV for the cell shown: -103.97
Total magnetic moment, μB/atom: 0.127
Symmetry: Pmn2_1 (31)
Theoretical density, g cm⁻³: 4.776


Entry 17:
Computed, not measured: BaSr2MnN4 after structural relaxation at the PBE level of DFT.

The structure in POSCAR format:
```
BaSr2MnN4
1.0
7.7729 0.0000 0.0000
0.0000 6.6573 0.0000
0.0000 0.0000 6.0025
Ba Sr Mn N
2 4 2 8
Direct
0.0000 0.1023 0.0000
0.5000 0.8977 0.5000
0.2356 0.3445 0.5108
0.2644 0.6555 0.0108
0.7356 0.6555 0.0108
0.7644 0.3445 0.5108
0.0000 0.8120 0.5285
0.5000 0.1880 0.0285
0.0000 0.0772 0.5122
0.0000 0.7492 0.8132
0.1864 0.7101 0.4095
0.3136 0.2899 0.9095
0.5000 0.2508 0.3132
0.5000 0.9228 0.0122
0.6864 0.2899 0.9095
0.8136 0.7101 0.4095
```

ΔE_f (raw), kcal/mol of atoms: -13.0
VASP energy, eV for the cell shown: -104.53
Total magnetic moment, μB/atom: 0.126
Symmetry: Pmn2_1 (31)
Theoretical density, g cm⁻³: 4.529


Entry 18:
Computed, not measured: BaMnTcN2 after structural relaxation at the PBE level of DFT.

The structure in POSCAR format:
```
BaMnTcN2
1.0
3.7632 0.0000 0.0000
0.0000 3.7632 0.0000
0.0000 0.0000 6.0183
Ba Mn Tc N
1 1 1 2
Direct
0.0000 0.0000 0.0000
0.0000 0.0000 0.5000
0.5000 0.5000 0.0000
0.0000 0.5000 0.5000
0.5000 0.0000 0.5000
```

ΔE_f (raw), kcal/mol of atoms: 39.4
VASP energy, eV for the cell shown: -29.56
Total magnetic moment, μB/atom: 0.000
Symmetry: P4/mmm (123)
Theoretical density, g cm⁻³: 6.201


Entry 19:
Computed, not measured: BaMnTe2N after structural relaxation at the PBE level of DFT.

The structure in POSCAR format:
```
BaMnTe2N
1.0
6.5326 0.0000 0.0000
0.0000 6.5326 0.0000
0.0000 0.0000 4.3634
Ba Mn Te N
1 1 2 1
Direct
0.0000 0.0000 0.0000
0.5000 0.5000 0.5000
0.0000 0.5000 0.0000
0.5000 0.0000 0.0000
0.0000 0.0000 0.5000
```

ΔE_f (raw), kcal/mol of atoms: 27.3
E above lowest polymorph, meV/atom: 1597
VASP energy, eV for the cell shown: -19.78
Total magnetic moment, μB/atom: 1.033
Symmetry: P4/mmm (123)
Theoretical density, g cm⁻³: 4.115


Entry 20:
Computed, not measured: BaMnTeN2 after structural relaxation at the PBE level of DFT.

The structure in POSCAR format:
```
BaMnTeN2
1.0
4.2250 0.0000 0.0000
0.0000 4.2250 0.0000
0.0000 0.0000 5.2366
Ba Mn Te N
1 1 1 2
Direct
0.0000 0.0000 0.0000
0.5000 0.5000 0.5000
0.5000 0.5000 0.0000
0.0000 0.5000 0.5000
0.5000 0.0000 0.5000
```

ΔE_f (raw), kcal/mol of atoms: 15.4
E above lowest polymorph, meV/atom: 0
VASP energy, eV for the cell shown: -27.56
Total magnetic moment, μB/atom: 0.000
Symmetry: P4/mmm (123)
Theoretical density, g cm⁻³: 6.180